A plane-wave DFT calculation with PBE was carried out for crystalline TaBiPd2 at its relaxed geometry.

The calculation puts the magnetic moment at 0.006 μB/atom. As for the total energy: -6.50 eV/atom. Its crystal system is cubic.

Unit cell a=4.701 b=4.701 c=4.701 alpha=60.00 beta=60.00 gamma=60.00
Element x y z (fractional)
Ta: 0.000 0.000 0.000
Bi: 0.750 0.750 0.750
Pd: 0.250 0.250 0.250
Pd: 0.500 0.500 0.500



A plane-wave DFT calculation with PBE was carried out for crystalline ZnCdCoIr at its relaxed geometry.

The calculation puts the magnetic moment at 0.295 μB/atom. For the energy above the lowest structure with this stoichiometry, the calculation gives 0 meV per atom. Its crystal system is cubic.

Unit cell a=4.371 b=4.371 c=4.371 alpha=60.00 beta=60.00 gamma=60.00
Element x y z (fractional)
Zn: 0.000 0.000 0.000
Cd: 0.500 0.500 0.500
Co: 0.250 0.250 0.250
Ir: 0.750 0.750 0.750